Entry from the Alexandria database: an optimized crystal structure of Mg2ScPtO (PBE).

abc: 4.1350 4.1350 4.4351
angles: 90.00 90.00 90.00
Element x y z (fractional)
1 Mg 0.0000 0.5000 0.0000
2 Mg 0.5000 0.0000 0.0000
3 Sc 0.0000 0.0000 0.5000
4 Pt 0.5000 0.5000 0.5000
5 O 0.0000 0.0000 0.0000

Its magnetization is 0.0 μB per formula unit. The density of states at the Fermi level comes out at 2.7 states/eV/cell. The electronic total energy is -27.9 eV/cell. Its space group is P4/mmm, No. 123. The value obtained for the formation energy (no corrections) is -1.480 eV per atom. Its volume is 75.8 Å³/cell.


Entry from the Alexandria database: an optimized crystal structure of MgPt2SeO (PBE).

abc: 4.5446 4.5446 3.8417
angles: 90.00 90.00 90.00
Element x y z (fractional)
1 Mg 0.0000 0.0000 0.0000
2 Pt 0.0000 0.5000 0.5000
3 Pt 0.5000 0.0000 0.5000
4 Se 0.5000 0.5000 0.0000
5 O 0.0000 0.0000 0.5000

Its magnetization is 0.0 μB per formula unit. The density of states at the Fermi level comes out at 2.5 states/eV/cell. The electronic total energy is -23.2 eV/cell. Its space group is P4/mmm, No. 123. The value obtained for the formation energy (no corrections) is -0.226 eV per atom. Its volume is 79.3 Å³/cell.


Entry from the Alexandria database: an optimized crystal structure of Sm2MgPtO5 (PBE).

abc: 6.6202 6.6202 5.8121
angles: 90.00 90.00 90.00
Element x y z (fractional)
1 Sm 0.1721 0.3279 0.0000
2 Sm 0.3279 0.8279 0.0000
3 Sm 0.6721 0.1721 0.0000
4 Sm 0.8279 0.6721 0.0000
5 Mg 0.0000 0.0000 0.5000
6 Mg 0.5000 0.5000 0.5000
7 Pt 0.0000 0.5000 0.5000
8 Pt 0.5000 0.0000 0.5000
9 O 0.0000 0.0000 0.0000
10 O 0.1469 0.6469 0.2506
11 O 0.1469 0.6469 0.7494
12 O 0.3531 0.1469 0.2506
13 O 0.3531 0.1469 0.7494
14 O 0.5000 0.5000 0.0000
15 O 0.6469 0.8531 0.2506
16 O 0.6469 0.8531 0.7494
17 O 0.8531 0.3531 0.2506
18 O 0.8531 0.3531 0.7494

Its magnetization is 0.0 μB per formula unit. The electronic total energy is -123.3 eV/cell. Its space group is P4/mbm, No. 127. The value obtained for the formation energy (no corrections) is -2.199 eV per atom. Its volume is 254.7 Å³/cell.


Entry from the Alexandria database: an optimized crystal structure of SmMgPtO4 (PBE).

abc: 6.5778 6.5778 6.5778
angles: 124.20 115.67 90.26
Element x y z (fractional)
1 Sm 0.0000 0.0000 0.0000
2 Sm 0.5000 0.0000 0.5000
3 Mg 0.4511 0.7011 0.7500
4 Mg 0.5489 0.2989 0.2500
5 Pt 0.0000 0.0000 0.5000
6 Pt 0.0000 0.5000 0.0000
7 O 0.1779 0.7434 0.4345
8 O 0.1911 0.2566 0.9345
9 O 0.3416 0.3109 0.4693
10 O 0.3416 0.8723 0.0307
11 O 0.6584 0.1277 0.9693
12 O 0.6584 0.6891 0.5307
13 O 0.8089 0.7434 0.0655
14 O 0.8221 0.2566 0.5655

Its magnetization is 0.9 μB per formula unit. The density of states at the Fermi level comes out at 8.6 states/eV/cell. The electronic total energy is -91.3 eV/cell. Its space group is Imma, No. 74. The value obtained for the formation energy (no corrections) is -1.923 eV per atom. Its volume is 200.0 Å³/cell.


Entry from the Alexandria database: an optimized crystal structure of MgSnPtO6 (PBE).

abc: 5.3024 5.3024 8.7716
angles: 90.00 90.00 120.00
Element x y z (fractional)
1 Mg 0.0000 0.0000 0.0000
2 Mg 0.0000 0.0000 0.5000
3 Sn 0.3333 0.6667 0.2500
4 Sn 0.6667 0.3333 0.7500
5 Pt 0.3333 0.6667 0.7500
6 Pt 0.6667 0.3333 0.2500
7 O 0.0150 0.3542 0.6276
8 O 0.0150 0.6608 0.8724
9 O 0.3392 0.3542 0.8724
10 O 0.3392 0.9850 0.6276
11 O 0.3542 0.0150 0.1276
12 O 0.3542 0.3392 0.3724
13 O 0.6458 0.6608 0.6276
14 O 0.6458 0.9850 0.8724
15 O 0.6608 0.0150 0.3724
16 O 0.6608 0.6458 0.1276
17 O 0.9850 0.3392 0.1276
18 O 0.9850 0.6458 0.3724

Its magnetization is 0.1 μB per formula unit. The density of states at the Fermi level comes out at 12.9 states/eV/cell. The electronic total energy is -104.1 eV/cell. Its space group is P-31c, No. 163. The value obtained for the formation energy (no corrections) is -1.186 eV per atom. Its volume is 213.6 Å³/cell.


Entry from the Alexandria database: an optimized crystal structure of Sr2MgPtO (PBE).

abc: 5.1265 5.1265 4.1955
angles: 90.00 90.00 90.00
Element x y z (fractional)
1 Sr 0.0000 0.5000 0.0000
2 Sr 0.5000 0.0000 0.0000
3 Mg 0.0000 0.0000 0.5000
4 Pt 0.5000 0.5000 0.5000
5 O 0.0000 0.0000 0.0000

Its magnetization is 0.0 μB per formula unit. The density of states at the Fermi level comes out at 3.9 states/eV/cell. The electronic total energy is -22.4 eV/cell. Its space group is P4/mmm, No. 123. The value obtained for the formation energy (no corrections) is -1.279 eV per atom. Its volume is 110.3 Å³/cell.


Entry from the Alexandria database: an optimized crystal structure of Sr3MgPt2O6 (PBE).

abc: 5.6606 5.6606 6.5201
angles: 90.00 90.00 120.00
Element x y z (fractional)
1 Sr 0.0000 0.0000 0.0000
2 Sr 0.3333 0.6667 0.6333
3 Sr 0.6667 0.3333 0.3667
4 Mg 0.0000 0.0000 0.5000
5 Pt 0.3333 0.6667 0.1284
6 Pt 0.6667 0.3333 0.8716
7 O 0.1654 0.3309 0.3096
8 O 0.1654 0.8346 0.3096
9 O 0.3309 0.1654 0.6904
10 O 0.6691 0.8346 0.3096
11 O 0.8346 0.1654 0.6904
12 O 0.8346 0.6691 0.6904

Its magnetization is 0.1 μB per formula unit. The density of states at the Fermi level comes out at 9.4 states/eV/cell. The electronic total energy is -67.2 eV/cell. Its space group is P-3m1, No. 164. The value obtained for the formation energy (no corrections) is -1.564 eV per atom. Its volume is 180.9 Å³/cell.


Entry from the Alexandria database: an optimized crystal structure of Sr3MgPtO6 (PBE).

abc: 6.7566 6.7566 6.7566
angles: 92.17 92.17 92.17
Element x y z (fractional)
1 Sr 0.1147 0.7500 0.3853
2 Sr 0.2500 0.6147 0.8853
3 Sr 0.3853 0.1147 0.7500
4 Sr 0.6147 0.8853 0.2500
5 Sr 0.7500 0.3853 0.1147
6 Sr 0.8853 0.2500 0.6147
7 Mg 0.2500 0.2500 0.2500
8 Mg 0.7500 0.7500 0.7500
9 Pt 0.0000 0.0000 0.0000
10 Pt 0.5000 0.5000 0.5000
11 O 0.0355 0.9052 0.7111
12 O 0.0948 0.2889 0.9645
13 O 0.2111 0.4052 0.5355
14 O 0.2889 0.9645 0.0948
15 O 0.4052 0.5355 0.2111
16 O 0.4645 0.7889 0.5948
17 O 0.5355 0.2111 0.4052
18 O 0.5948 0.4645 0.7889
19 O 0.7111 0.0355 0.9052
20 O 0.7889 0.5948 0.4645
21 O 0.9052 0.7111 0.0355
22 O 0.9645 0.0948 0.2889

Its magnetization is 0.0 μB per formula unit. The density of states at the Fermi level comes out at 0.0 states/eV/cell. The electronic total energy is -134.3 eV/cell. Its space group is R-3c, No. 167. The value obtained for the formation energy (no corrections) is -2.249 eV per atom. Its volume is 307.8 Å³/cell.


Entry from the Alexandria database: an optimized crystal structure of TbMgPtO4 (PBE).

abc: 6.4441 6.4441 6.4441
angles: 120.96 117.71 91.18
Element x y z (fractional)
1 Tb 0.0000 0.0000 0.0000
2 Tb 0.5000 0.0000 0.5000
3 Mg 0.3806 0.6306 0.7500
4 Mg 0.6194 0.3694 0.2500
5 Pt 0.0000 0.0000 0.5000
6 Pt 0.0000 0.5000 0.0000
7 O 0.1979 0.7410 0.4569
8 O 0.2159 0.2590 0.9569
9 O 0.2774 0.2614 0.4840
10 O 0.2774 0.7934 0.0160
11 O 0.7226 0.2066 0.9840
12 O 0.7226 0.7386 0.5160
13 O 0.7841 0.7410 0.0431
14 O 0.8021 0.2590 0.5431

Its magnetization is 1.0 μB per formula unit. The density of states at the Fermi level comes out at 2.1 states/eV/cell. The electronic total energy is -92.0 eV/cell. Its space group is Imma, No. 74. The value obtained for the formation energy (no corrections) is -1.983 eV per atom. Its volume is 190.9 Å³/cell.


Entry from the Alexandria database: an optimized crystal structure of MgTePtO6 (PBE).

abc: 5.1923 5.1923 9.1181
angles: 90.00 90.00 120.00
Element x y z (fractional)
1 Mg 0.0000 0.0000 0.0000
2 Mg 0.0000 0.0000 0.5000
3 Te 0.3333 0.6667 0.2500
4 Te 0.6667 0.3333 0.7500
5 Pt 0.3333 0.6667 0.7500
6 Pt 0.6667 0.3333 0.2500
7 O 0.0088 0.3541 0.1325
8 O 0.0088 0.6547 0.3675
9 O 0.3453 0.3541 0.3675
10 O 0.3453 0.9912 0.1325
11 O 0.3541 0.0088 0.6325
12 O 0.3541 0.3453 0.8675
13 O 0.6459 0.6547 0.1325
14 O 0.6459 0.9912 0.3675
15 O 0.6547 0.0088 0.8675
16 O 0.6547 0.6459 0.6325
17 O 0.9912 0.3453 0.6325
18 O 0.9912 0.6459 0.8675

Its magnetization is 0.0 μB per formula unit. The density of states at the Fermi level comes out at 0.0 states/eV/cell. The electronic total energy is -103.3 eV/cell. Its space group is P-31c, No. 163. The value obtained for the formation energy (no corrections) is -1.237 eV per atom. Its volume is 212.9 Å³/cell.


Entry from the Alexandria database: an optimized crystal structure of Mg2TiPtO (PBE).

abc: 4.0725 4.0725 4.2650
angles: 90.00 90.00 90.00
Element x y z (fractional)
1 Mg 0.0000 0.5000 0.0000
2 Mg 0.5000 0.0000 0.0000
3 Ti 0.0000 0.0000 0.5000
4 Pt 0.5000 0.5000 0.5000
5 O 0.0000 0.0000 0.0000

Its magnetization is 0.0 μB per formula unit. The density of states at the Fermi level comes out at 3.1 states/eV/cell. The electronic total energy is -28.5 eV/cell. Its space group is P4/mmm, No. 123. The value obtained for the formation energy (no corrections) is -1.281 eV per atom. Its volume is 70.7 Å³/cell.


Entry from the Alexandria database: an optimized crystal structure of TmMgPtO4 (PBE).

abc: 6.3952 6.3952 6.3952
angles: 120.91 118.78 90.27
Element x y z (fractional)
1 Tm 0.0000 0.0000 0.0000
2 Tm 0.5000 0.0000 0.5000
3 Mg 0.3796 0.6296 0.7500
4 Mg 0.6204 0.3704 0.2500
5 Pt 0.0000 0.0000 0.5000
6 Pt 0.0000 0.5000 0.0000
7 O 0.2093 0.7468 0.4625
8 O 0.2156 0.2532 0.9625
9 O 0.2742 0.2561 0.4819
10 O 0.2742 0.7922 0.0181
11 O 0.7258 0.2078 0.9819
12 O 0.7258 0.7439 0.5181
13 O 0.7844 0.7468 0.0375
14 O 0.7907 0.2532 0.5375

Its magnetization is 1.0 μB per formula unit. The density of states at the Fermi level comes out at 1.9 states/eV/cell. The electronic total energy is -92.6 eV/cell. Its space group is Imma, No. 74. The value obtained for the formation energy (no corrections) is -2.050 eV per atom. Its volume is 185.3 Å³/cell.